Run P
{
  "formula": "SrGe3Pb",
  "functional": "GGA-PBE",
  "state": "optimized geometry",
  "magnetic_moment_mub_per_fu": 0.00,
  "dos_ef_per_ev_atom": 1.461,
  "lattice_angstrom": [[5.5837, 0.0000, 0.0000], [0.0000, 5.5837, 0.0000], [0.0000, 0.0000, 5.5837]],
  "species": ["Sr", "Ge", "Ge", "Ge", "Pb"],
  "fractional_positions": [[0.0000, 0.0000, 0.0000], [0.0000, 0.5000, 0.0000], [0.5000, 0.0000, 0.0000], [0.0000, 0.0000, 0.5000], [0.5000, 0.5000, 0.5000]]
}



Run Q
{
  "formula": "SrGe3Pb",
  "functional": "GGA-PBE",
  "state": "optimized geometry",
  "magnetic_moment_mub_per_fu": 0.00,
  "dos_ef_per_ev_atom": 0.856,
  "lattice_angstrom": [[-5.0221, 0.4044, -2.1416], [-2.1278, -2.0737, 4.5982], [-0.4715, 5.0505, 2.0595]],
  "species": ["Sr", "Pb", "Ge", "Ge", "Ge"],
  "fractional_positions": [[0.5000, 0.5000, 0.5000], [0.0000, 0.0000, 0.0000], [0.0000, 0.0000, 0.5000], [0.0000, 0.5000, 0.0000], [0.5000, 0.0000, 0.0000]]
}



Most stable: run Q. Least stable: run P.



Run P
{
  "formula": "SrGePb3",
  "functional": "GGA-PBE",
  "state": "optimized geometry",
  "magnetic_moment_mub_per_fu": 0.84,
  "dos_ef_per_ev_atom": 1.250,
  "lattice_angstrom": [[6.0407, 0.0000, 0.0000], [0.0000, 6.0407, 0.0000], [0.0000, 0.0000, 6.0407]],
  "species": ["Pb", "Pb", "Pb", "Ge", "Sr"],
  "fractional_positions": [[0.0000, 0.0000, 0.5000], [0.5000, 0.0000, 0.0000], [0.0000, 0.5000, 0.0000], [0.5000, 0.5000, 0.5000], [0.0000, 0.0000, 0.0000]]
}



Run Q
{
  "formula": "SrGePb3",
  "functional": "GGA-PBE",
  "state": "optimized geometry",
  "magnetic_moment_mub_per_fu": 0.00,
  "dos_ef_per_ev_atom": 0.732,
  "lattice_angstrom": [[5.6305, 0.0000, 0.0000], [0.0000, 5.6305, 0.0000], [0.0000, 0.0000, 5.6305]],
  "species": ["Sr", "Ge", "Pb", "Pb", "Pb"],
  "fractional_positions": [[0.5000, 0.5000, 0.5000], [0.0000, 0.0000, 0.0000], [0.0000, 0.5000, 0.0000], [0.5000, 0.0000, 0.0000], [0.0000, 0.0000, 0.5000]]
}



Most stable: run Q. Least stable: run P.